Below is CrIr5 after structural relaxation, with properties calculated at the PBE-GGA level.

Properties
Size of the total moment in μB per formula unit: 0.4
Energy of formation in eV/f.u.: 3.3
DOS(E_F) in states/eV/atom: 1.605
DFT total energy in eV per atom: -8.430

abc: 7.242 7.242 7.242
angles: 90.00 90.00 90.00
Space group F-43m (No. 216)
Symmetry-distinct sites (fractional):
Cr: 0.000 0.000 0.000 (multiplicity 4)
Ir: 0.125 0.125 0.625 (multiplicity 16)
Ir: 0.250 0.250 0.250 (multiplicity 4)

=====

Below is CrIr3 after structural relaxation, with properties calculated at the PBE-GGA level.

Properties
Size of the total moment in μB per formula unit: 1.5
Energy of formation in eV/f.u.: -0.6
DOS(E_F) in states/eV/atom: 0.932
DFT total energy in eV per atom: -9.190

abc: 5.413 7.608 2.727
angles: 90.00 90.00 90.00
Space group Cmmm (No. 65)
Symmetry-distinct sites (fractional):
Cr: 0.000 0.000 0.000 (multiplicity 2)
Ir: 0.000 0.500 0.000 (multiplicity 2)
Ir: 0.250 0.250 0.500 (multiplicity 4)

=====

Below is Cr5Ir3 after structural relaxation, with properties calculated at the PBE-GGA level.

Properties
Size of the total moment in μB per formula unit: 1.9
Energy of formation in eV/f.u.: -0.7
DOS(E_F) in states/eV/atom: 1.138
DFT total energy in eV per atom: -9.421

abc: 7.295 7.580 3.846
angles: 90.00 90.00 90.00
Space group Cmmm (No. 65)
Symmetry-distinct sites (fractional):
Cr: 0.000 0.000 0.000 (multiplicity 2)
Cr: 0.000 0.263 0.500 (multiplicity 4)
Cr: 0.250 0.250 0.000 (multiplicity 4)
Ir: 0.000 0.500 0.000 (multiplicity 2)
Ir: 0.235 0.000 0.500 (multiplicity 4)

=====

Below is CrIr3 after structural relaxation, with properties calculated at the PBE-GGA level.

Properties
Size of the total moment in μB per formula unit: 0.0
Energy of formation in eV/f.u.: 7.7
DOS(E_F) in states/eV/atom: 2.047
DFT total energy in eV per atom: -7.119

abc: 4.477 4.477 4.477
angles: 90.00 90.00 90.00
Space group Pm-3m (No. 221)
Symmetry-distinct sites (fractional):
Cr: 0.000 0.000 0.000 (multiplicity 1)
Ir: 0.000 0.000 0.500 (multiplicity 3)

=====

Below is CrIr3 after structural relaxation, with properties calculated at the PBE-GGA level.

Properties
Size of the total moment in μB per formula unit: 0.3
Energy of formation in eV/f.u.: -0.4
DOS(E_F) in states/eV/atom: 1.153
DFT total energy in eV per atom: -9.146

abc: 2.706 2.706 7.578
angles: 90.00 90.00 90.00
Space group P4/mmm (No. 123)
Symmetry-distinct sites (fractional):
Cr: 0.000 0.000 0.000 (multiplicity 1)
Ir: 0.000 0.000 0.500 (multiplicity 1)
Ir: 0.500 0.500 0.238 (multiplicity 2)

=====

Below is CrIr5 after structural relaxation, with properties calculated at the PBE-GGA level.

Properties
Size of the total moment in μB per formula unit: 0.3
Energy of formation in eV/f.u.: -0.4
DOS(E_F) in states/eV/atom: 0.984
DFT total energy in eV per atom: -9.059

abc: 2.722 2.722 11.416
angles: 90.00 90.00 90.00
Space group P4/mmm (No. 123)
Symmetry-distinct sites (fractional):
Cr: 0.000 0.000 0.000 (multiplicity 1)
Ir: 0.000 0.000 0.332 (multiplicity 2)
Ir: 0.500 0.500 0.155 (multiplicity 2)
Ir: 0.500 0.500 0.500 (multiplicity 1)

=====

Below is CrIr3 after structural relaxation, with properties calculated at the PBE-GGA level.

Properties
Size of the total moment in μB per formula unit: 0.0
Energy of formation in eV/f.u.: -0.3
DOS(E_F) in states/eV/atom: 1.169
DFT total energy in eV per atom: -9.127

abc: 2.7022 2.7022 26.4005
angles: 90.00 90.00 120.00
Space group R-3m (No. 166, hexagonal axes)
Symmetry-distinct sites (fractional):
Cr: 0.0000 0.0000 0.0000 (multiplicity 3)
Ir: 0.0000 0.0000 0.2544 (multiplicity 6)
Ir: 0.0000 0.0000 0.5000 (multiplicity 3)

=====

Below is CrIr3 after structural relaxation, with properties calculated at the PBE-GGA level.

Properties
Size of the total moment in μB per formula unit: 0.0
Energy of formation in eV/f.u.: -0.9
DOS(E_F) in states/eV/atom: 0.799
DFT total energy in eV per atom: -9.280

abc: 5.4374 5.4374 4.3115
angles: 90.00 90.00 120.00
Space group P6_3/mmc (No. 194)
Symmetry-distinct sites (fractional):
Cr: 0.3333 0.6667 0.2500 (multiplicity 2)
Ir: 0.1691 0.3382 0.7500 (multiplicity 6)

=====

Below is CrIr5 after structural relaxation, with properties calculated at the PBE-GGA level.

Properties
Size of the total moment in μB per formula unit: 0.0
Energy of formation in eV/f.u.: -0.7
DOS(E_F) in states/eV/atom: 0.851
DFT total energy in eV per atom: -9.097

abc: 4.7376 4.7376 4.3512
angles: 90.00 90.00 120.00
Space group P-62m (No. 189)
Symmetry-distinct sites (fractional):
Cr: 0.0000 0.0000 0.0000 (multiplicity 1)
Ir: 0.0000 0.6705 0.5000 (multiplicity 3)
Ir: 0.3333 0.6667 0.0000 (multiplicity 2)

=====

Below is CrIr3 after structural relaxation, with properties calculated at the PBE-GGA level.

Properties
Size of the total moment in μB per formula unit: 0.0
Energy of formation in eV/f.u.: -0.6
DOS(E_F) in states/eV/atom: 0.924
DFT total energy in eV per atom: -9.213

abc: 2.731 4.311 4.709
angles: 90.00 90.00 90.00
Space group Pmm2 (No. 25)
Symmetry-distinct sites (fractional):
Cr: 0.000 0.000 0.000 (multiplicity 1)
Ir: 0.000 0.500 0.324 (multiplicity 1)
Ir: 0.500 0.000 0.492 (multiplicity 1)
Ir: 0.500 0.500 0.832 (multiplicity 1)

=====

Below is Cr5Ir3 after structural relaxation, with properties calculated at the PBE-GGA level.

Properties
Size of the total moment in μB per formula unit: 4.8
Energy of formation in eV/f.u.: 0.9
DOS(E_F) in states/eV/atom: 1.047
DFT total energy in eV per atom: -9.225

abc: 7.3934 7.3934 4.6487
angles: 90.00 90.00 120.00
Space group P6_3/mcm (No. 193)
Symmetry-distinct sites (fractional):
Cr: 0.0000 0.2264 0.2500 (multiplicity 6)
Cr: 0.3333 0.6667 0.0000 (multiplicity 4)
Ir: 0.0000 0.4010 0.7500 (multiplicity 6)

=====

Below is CrIr3 after structural relaxation, with properties calculated at the PBE-GGA level.

Properties
Size of the total moment in μB per formula unit: 1.2
Energy of formation in eV/f.u.: -0.9
DOS(E_F) in states/eV/atom: 1.205
DFT total energy in eV per atom: -9.269

abc: 3.825 3.825 3.825
angles: 90.00 90.00 90.00
Space group Pm-3m (No. 221)
Symmetry-distinct sites (fractional):
Cr: 0.000 0.000 0.000 (multiplicity 1)
Ir: 0.000 0.500 0.500 (multiplicity 3)

=====

Below is Cr3Ir5 after structural relaxation, with properties calculated at the PBE-GGA level.

Properties
Size of the total moment in μB per formula unit: 0.0
Energy of formation in eV/f.u.: -1.6
DOS(E_F) in states/eV/atom: 0.947
DFT total energy in eV per atom: -9.352

abc: 10.105 9.354 5.054
angles: 90.00 115.36 90.00
Space group C2/c (No. 15)
Symmetry-distinct sites (fractional):
Cr: 0.000 0.035 0.250 (multiplicity 4)
Cr: 0.126 0.293 0.506 (multiplicity 8)
Ir: 0.000 0.460 0.750 (multiplicity 4)
Ir: 0.121 0.206 0.013 (multiplicity 8)
Ir: 0.243 0.044 0.739 (multiplicity 8)